Record 1
# Y2CdPt2 | Alexandria | GGA-PBE | optimized geometry
# Total energy in eV per atom: -5.874
# Size of the total moment in μB/f.u.: 0.000
data_Y2CdPt2
_chemical_formula_sum 'Y2 Cd1 Pt2'
_symmetry_space_group_name_H-M 'P 1'
_symmetry_Int_Tables_number 1
_cell_length_a 8.1929
_cell_length_b 8.1929
_cell_length_c 8.1929
_cell_angle_alpha 151.89
_cell_angle_beta 151.89
_cell_angle_gamma 40.17
loop_
_symmetry_equiv_pos_as_xyz
'x,y,z'
loop_
_atom_site_label
_atom_site_type_symbol
_atom_site_fract_x
_atom_site_fract_y
_atom_site_fract_z
_atom_site_occupancy
Y1 Y 0.1185 0.1185 0.0000 1
Y2 Y 0.8815 0.8815 0.0000 1
Cd1 Cd 0.5000 0.5000 0.0000 1
Pt1 Pt 0.2500 0.7500 0.5000 1
Pt2 Pt 0.7500 0.2500 0.5000 1



Record 2
# YCdPt | Alexandria | GGA-PBE | optimized geometry
# Total energy in eV per atom: -5.230
# Size of the total moment in μB/f.u.: 0.000
data_YCdPt
_chemical_formula_sum 'Y1 Cd1 Pt1'
_symmetry_space_group_name_H-M 'P 1'
_symmetry_Int_Tables_number 1
_cell_length_a 5.3886
_cell_length_b 5.3886
_cell_length_c 5.3886
_cell_angle_alpha 139.85
_cell_angle_beta 139.85
_cell_angle_gamma 58.08
loop_
_symmetry_equiv_pos_as_xyz
'x,y,z'
loop_
_atom_site_label
_atom_site_type_symbol
_atom_site_fract_x
_atom_site_fract_y
_atom_site_fract_z
_atom_site_occupancy
Y1 Y 0.0000 0.0000 0.0000 1
Cd1 Cd 0.6859 0.6859 0.0000 1
Pt1 Pt 0.3530 0.3530 0.0000 1